A) DFT (PBE) results for Y8Zn2Pd after structural relaxation.

Computed properties:
The value obtained for the volume is 27.2 A^3/atom. For the magnetic moment, the calculation gives 0.00 μB/f.u.

Structure (extended XYZ):
```
11
Lattice="8.8723 -2.5541 0.0000 8.8723 2.5541 0.0000 -1.6136 0.0000 6.5967" Properties=species:S:1:pos:R:3 pbc="T T T"
Y 0.0542 0.0000 1.8319
Y 2.2692 0.0000 5.4358
Y 5.1564 0.0000 3.5004
Y 7.1868 0.0000 0.3412
Y 8.9442 0.0000 6.2555
Y 10.9746 0.0000 3.0962
Y 13.8618 0.0000 1.1608
Y 16.0767 0.0000 4.7648
Zn 2.9909 0.0000 1.5524
Zn 13.1401 0.0000 5.0443
Pd 8.0655 0.0000 3.2983
```

***

B) DFT (PBE) results for Y8Zn2Pd after structural relaxation.

Computed properties:
The value obtained for the volume is 28.5 A^3/atom. For the magnetic moment, the calculation gives 0.00 μB/f.u.

Structure (extended XYZ):
```
11
Lattice="4.2873 -6.8008 0.0000 4.2873 6.8008 0.0000 -2.2488 0.0000 5.3705" Properties=species:S:1:pos:R:3 pbc="T T T"
Y 0.0000 0.0000 0.0000
Y -0.0119 1.6959 3.0383
Y 2.6874 2.7234 1.0681
Y -0.0119 -1.6959 3.0383
Y 3.1866 1.6850 4.4060
Y 2.6874 -2.7234 1.0681
Y 3.1866 -1.6850 4.4060
Y 5.4185 0.0000 2.1679
Zn 1.6099 4.1190 3.8017
Zn 1.6099 -4.1190 3.8017
Pd 2.3719 0.0000 1.9208
```

***

It is A) that is most stable; the runner-up trails by 108 meV/atom.

***

A) DFT (PBE) results for YZn9Pd2 after structural relaxation.

Computed properties:
The value obtained for the volume is 16.1 A^3/atom. For the magnetic moment, the calculation gives 0.00 μB/f.u.

Structure (extended XYZ):
```
24
Lattice="-5.2788 5.2788 3.4687 5.2788 -5.2788 3.4687 5.2788 5.2788 -3.4687" Properties=species:S:1:pos:R:3 pbc="T T T"
Y 5.2788 2.6394 0.8672
Y 0.0000 2.6394 2.6015
Zn 5.2788 -2.6394 2.6015
Zn 4.0047 -0.4605 1.2186
Zn 6.5529 -0.4605 1.2186
Zn 2.1789 1.3653 0.5158
Zn 8.3787 1.3653 0.5158
Zn 4.0047 4.8183 -1.2186
Zn 1.2741 -0.4605 2.2501
Zn 2.1789 3.9135 0.5158
Zn 3.0999 -1.3653 3.9845
Zn 2.1789 6.6441 -0.5158
Zn 3.0999 1.3653 2.9529
Zn 4.0047 5.7393 1.2186
Zn 1.2741 0.4605 4.6873
Zn -3.0999 3.9135 2.9529
Zn 3.0999 3.9135 2.9529
Zn -1.2741 5.7393 2.2501
Zn 1.2741 5.7393 2.2501
Zn 0.0000 7.9182 0.8672
Pd 0.0000 0.0000 0.0000
Pd 2.6394 2.6394 -1.7344
Pd 2.6394 -2.6394 1.7344
Pd 0.0000 5.2788 0.0000
```

***

B) DFT (PBE) results for YZn9Pd2 after structural relaxation.

Computed properties:
The value obtained for the volume is 16.4 A^3/atom. For the magnetic moment, the calculation gives 0.00 μB/f.u.

Structure (extended XYZ):
```
12
Lattice="8.7114 0.0000 0.0000 -4.3557 7.5443 0.0000 0.0000 0.0000 2.9961" Properties=species:S:1:pos:R:3 pbc="T T T"
Y 0.0000 0.0000 0.0000
Zn -2.1778 3.7721 0.0000
Zn 0.0000 2.7643 1.4980
Zn -1.9618 6.1621 1.4980
Zn 2.3939 1.3821 1.4980
Zn 4.3557 0.0000 0.0000
Zn 2.1778 3.7721 0.0000
Zn 1.9618 6.1621 1.4980
Zn 6.3174 1.3821 1.4980
Zn 4.3557 4.7800 1.4980
Pd 0.0000 5.0295 0.0000
Pd 4.3557 2.5148 0.0000
```

***

It is A) that is most stable; the runner-up trails by 72 meV/atom.

***

A) DFT (PBE) results for YZn3Pd after structural relaxation.

Computed properties:
The value obtained for the volume is 23.6 A^3/atom. For the magnetic moment, the calculation gives 0.00 μB/f.u.

Structure (extended XYZ):
```
10
Lattice="-2.3028 2.3028 11.1086 2.3028 -2.3028 11.1086 2.3028 2.3028 -11.1086" Properties=species:S:1:pos:R:3 pbc="T T T"
Y 0.0000 0.0000 0.0000
Y 0.0000 2.3028 5.5543
Zn 2.3028 0.0000 2.1268
Zn 0.0000 1.1558 2.7637
Zn 2.3028 0.0000 8.9818
Zn 0.0000 3.4499 2.7637
Zn -1.1470 2.3028 8.3449
Zn 1.1470 2.3028 8.3449
Pd 0.0000 0.0000 7.5552
Pd 0.0000 0.0000 14.6620
```

***

B) DFT (PBE) results for YZn3Pd after structural relaxation.

Computed properties:
The value obtained for the volume is 21.3 A^3/atom. For the magnetic moment, the calculation gives 0.00 μB/f.u.

Structure (extended XYZ):
```
5
Lattice="4.7420 0.0000 0.0000 0.0000 4.7420 0.0000 0.0000 0.0000 4.7420" Properties=species:S:1:pos:R:3 pbc="T T T"
Y 0.0000 0.0000 0.0000
Zn 0.0000 2.3710 2.3710
Zn 2.3710 0.0000 2.3710
Zn 2.3710 2.3710 0.0000
Pd 2.3710 2.3710 2.3710
```

***

It is B) that is most stable; the runner-up trails by 130 meV/atom.

***

A) DFT (PBE) results for YZn3Pd after structural relaxation.

Computed properties:
The value obtained for the volume is 18.1 A^3/atom. For the magnetic moment, the calculation gives 0.00 μB/f.u.

Structure (extended XYZ):
```
20
Lattice="7.1958 0.0000 0.0000 0.0000 6.2127 0.0000 -2.2965 0.0000 8.0944" Properties=species:S:1:pos:R:3 pbc="T T T"
Y 1.1671 0.0915 2.0112
Y 0.0188 3.0149 6.0584
Y 4.8805 3.1978 2.0360
Y 3.7322 6.1212 6.0832
Zn 0.4875 3.4521 2.9812
Zn -0.6608 5.8669 7.0284
Zn 2.0101 3.5359 0.9715
Zn 0.8619 5.7831 5.0187
Zn 3.2870 1.2868 0.2278
Zn 2.1388 1.8195 4.2750
Zn 2.7605 4.3931 3.8194
Zn 1.6123 4.9259 7.8666
Zn 4.0375 0.4296 3.0757
Zn 2.8892 2.6768 7.1229
Zn 5.5601 0.3458 1.0660
Zn 4.4119 2.7606 5.1132
Pd -0.7630 1.3336 3.8113
Pd -1.9112 1.7728 7.8585
Pd 6.8105 4.4399 0.2359
Pd 5.6623 4.8791 4.2832
```

***

B) DFT (PBE) results for YZn3Pd after structural relaxation.

Computed properties:
The value obtained for the volume is 31.8 A^3/atom. For the magnetic moment, the calculation gives 0.00 μB/f.u.

Structure (extended XYZ):
```
5
Lattice="5.4164 0.0000 0.0000 0.0000 5.4164 0.0000 0.0000 0.0000 5.4164" Properties=species:S:1:pos:R:3 pbc="T T T"
Y 0.0000 0.0000 0.0000
Zn 0.0000 0.0000 2.7082
Zn 0.0000 2.7082 0.0000
Zn 2.7082 0.0000 0.0000
Pd 2.7082 2.7082 2.7082
```

***

It is A) that is most stable; the runner-up trails by 1544 meV/atom.

***

A) DFT (PBE) results for Y2ZrPd2 after structural relaxation.

Computed properties:
The value obtained for the volume is 22.4 A^3/atom. For the magnetic moment, the calculation gives 1.61 μB/f.u.

Structure (extended XYZ):
```
10
Lattice="8.3419 0.0000 0.0000 0.0000 8.3419 0.0000 0.0000 0.0000 3.2210" Properties=species:S:1:pos:R:3 pbc="T T T"
Y 1.2235 2.9475 0.0000
Y 2.9475 7.1184 0.0000
Y 5.3944 1.2235 0.0000
Y 7.1184 5.3944 0.0000
Zr 0.0000 0.0000 0.0000
Zr 4.1709 4.1709 0.0000
Pd 1.2789 5.4498 1.6105
Pd 2.8921 1.2789 1.6105
Pd 5.4498 7.0630 1.6105
Pd 7.0630 2.8921 1.6105
```

***

B) DFT (PBE) results for Y2ZrPd2 after structural relaxation.

Computed properties:
The value obtained for the volume is 24.6 A^3/atom. For the magnetic moment, the calculation gives 1.87 μB/f.u.

Structure (extended XYZ):
```
5
Lattice="-2.3090 2.3090 5.7695 2.3090 -2.3090 5.7695 2.3090 2.3090 -5.7695" Properties=species:S:1:pos:R:3 pbc="T T T"
Y 2.3090 0.0000 2.8847
Y 0.0000 2.3090 2.8847
Zr 0.0000 0.0000 0.0000
Pd 0.0000 0.0000 4.5109
Pd 0.0000 0.0000 7.0280
```

***

It is A) that is most stable; the runner-up trails by 165 meV/atom.

***

A) DFT (PBE) results for Y3ZrPd after structural relaxation.

Computed properties:
The value obtained for the volume is 31.4 A^3/atom. For the magnetic moment, the calculation gives 2.15 μB/f.u.

Structure (extended XYZ):
```
5
Lattice="5.3931 0.0000 0.0000 0.0000 5.3931 0.0000 0.0000 0.0000 5.3931" Properties=species:S:1:pos:R:3 pbc="T T T"
Y 0.0000 0.0000 2.6966
Y 0.0000 2.6966 0.0000
Y 2.6966 0.0000 0.0000
Zr 2.6966 2.6966 2.6966
Pd 0.0000 0.0000 0.0000
```

***

B) DFT (PBE) results for Y3ZrPd after structural relaxation.

Computed properties:
The value obtained for the volume is 31.6 A^3/atom. For the magnetic moment, the calculation gives 0.00 μB/f.u.

Structure (extended XYZ):
```
5
Lattice="5.4067 0.0000 0.0000 0.0000 5.4067 0.0000 0.0000 0.0000 5.4067" Properties=species:S:1:pos:R:3 pbc="T T T"
Y 0.0000 0.0000 2.7033
Y 0.0000 2.7033 0.0000
Y 2.7033 0.0000 0.0000
Zr 0.0000 0.0000 0.0000
Pd 2.7033 2.7033 2.7033
```

***

It is A) that is most stable; the runner-up trails by 611 meV/atom.

***

A) DFT (PBE) results for Zn6Pd after structural relaxation.

Computed properties:
The value obtained for the volume is 31.8 A^3/atom. For the magnetic moment, the calculation gives 0.00 μB/f.u.

Structure (extended XYZ):
```
7
Lattice="6.0629 0.0000 0.0000 0.0000 6.0629 0.0000 0.0000 0.0000 6.0629" Properties=species:S:1:pos:R:3 pbc="T T T"
Zn 0.0000 0.0000 1.8510
Zn 0.0000 0.0000 4.2119
Zn 0.0000 1.8510 0.0000
Zn 0.0000 4.2119 0.0000
Zn 1.8510 0.0000 0.0000
Zn 4.2119 0.0000 0.0000
Pd 3.0314 3.0314 3.0314
```

***

B) DFT (PBE) results for Zn6Pd after structural relaxation.

Computed properties:
The value obtained for the volume is 15.6 A^3/atom. For the magnetic moment, the calculation gives 0.00 μB/f.u.

Structure (extended XYZ):
```
14
Lattice="4.9221 0.0000 0.0000 0.0000 4.9221 0.0000 0.0000 0.0000 8.9944" Properties=species:S:1:pos:R:3 pbc="T T T"
Zn 0.3560 2.8170 1.2696
Zn 0.3560 4.5661 7.7248
Zn 1.2305 1.2305 3.2619
Zn 1.2305 1.2305 5.7325
Zn 2.1051 2.8170 7.7248
Zn 2.1051 4.5661 1.2696
Zn 2.8170 0.3560 7.7248
Zn 2.8170 2.1051 1.2696
Zn 3.6916 3.6916 3.2619
Zn 3.6916 3.6916 5.7325
Zn 4.5661 0.3560 1.2696
Zn 4.5661 2.1051 7.7248
Pd 1.2305 3.6916 4.4972
Pd 3.6916 1.2305 4.4972
```

***

It is B) that is most stable; the runner-up trails by 921 meV/atom.

***

A) DFT (PBE) results for Zn2Pd3 after structural relaxation.

Computed properties:
The value obtained for the volume is 14.6 A^3/atom. For the magnetic moment, the calculation gives 0.00 μB/f.u.

Structure (extended XYZ):
```
10
Lattice="3.0788 0.0000 0.0000 0.0000 3.0788 0.0000 0.0000 0.0000 15.4486" Properties=species:S:1:pos:R:3 pbc="T T T"
Zn 0.0000 0.0000 1.5079
Zn 0.0000 0.0000 4.5873
Zn 0.0000 0.0000 10.8612
Zn 0.0000 0.0000 13.9407
Pd 0.0000 0.0000 7.7243
Pd 1.5394 1.5394 0.0000
Pd 1.5394 1.5394 3.0067
Pd 1.5394 1.5394 5.9765
Pd 1.5394 1.5394 9.4721
Pd 1.5394 1.5394 12.4418
```

***

B) DFT (PBE) results for Zn2Pd3 after structural relaxation.

Computed properties:
The value obtained for the volume is 16.5 A^3/atom. For the magnetic moment, the calculation gives 0.00 μB/f.u.

Structure (extended XYZ):
```
10
Lattice="-3.2023 5.0867 2.5289 3.2023 -5.0867 2.5289 3.2023 5.0867 -2.5289" Properties=species:S:1:pos:R:3 pbc="T T T"
Zn 1.5692 1.6582 0.0000
Zn 1.5692 -1.6582 2.5289
Zn 1.6331 6.7448 0.0000
Zn 1.6331 3.4285 2.5289
Pd 5.4763 1.0035 0.0000
Pd 3.2023 0.0000 1.2644
Pd 2.2740 4.0832 0.0000
Pd 0.9283 1.0035 2.5289
Pd 0.0000 5.0867 1.2644
Pd -2.2740 4.0832 2.5289
```

***

It is A) that is most stable; the runner-up trails by 235 meV/atom.